Entry 1:
A plane-wave DFT calculation with PBE was carried out for CaScO3 after structural relaxation.

Cell and atoms, written as POSCAR:
```
CaScO3
1.0
4.102 0.000 0.000
0.000 4.102 0.000
0.000 0.000 4.102
Ca Sc O
1 1 3
direct
0.000 0.000 0.000
0.500 0.500 0.500
0.000 0.000 0.500
0.000 0.500 0.000
0.500 0.000 0.000
```

Computed properties:
As for the calculated density: 3.2 g/cm3. Its raw formation energy is -1.3980 eV per atom. The final energy is -6.040 eV per atom.

=====

Entry 2:
A plane-wave DFT calculation with PBE was carried out for BaZnBrF2 after structural relaxation.

Cell and atoms, written as POSCAR:
```
BaZnBrF2
1.0
5.491 0.000 0.000
0.000 5.491 0.000
0.000 0.000 4.552
Ba Zn Br F
1 1 1 2
direct
0.000 0.000 0.000
0.500 0.500 0.000
0.500 0.500 0.500
0.000 0.500 0.500
0.500 0.000 0.500
```

Computed properties:
As for the calculated density: 3.9 g/cm3. Its raw formation energy is -1.3036 eV per atom. The final energy is -3.026 eV per atom.

=====

Entry 3:
A plane-wave DFT calculation with PBE was carried out for SrSn3F after structural relaxation.

Cell and atoms, written as POSCAR:
```
SrSn3F
1.0
6.208 0.000 0.000
0.000 6.208 0.000
0.000 0.000 6.208
Sr Sn F
1 3 1
direct
0.000 0.000 0.000
0.000 0.000 0.500
0.000 0.500 0.000
0.500 0.000 0.000
0.500 0.500 0.500
```

Computed properties:
For the offset from the most stable computed form, the calculation gives 1366 meV per atom. As for the calculated density: 3.2 g/cm3. Its raw formation energy is 0.6441 eV per atom. The final energy is -2.468 eV per atom.